A relaxed structure of CuOs2F. Source: Alexandria, functional PBE.

Computed properties:
The relative energy among the computed polymorphs comes out at 0 meV per atom. The calculation puts the formation energy without anion corrections at 0.9201 eV/atom. The spin magnetization comes out at 0.0 μB/f.u. The value obtained for the raw total energy is -0.227 Ha/atom.

```
data_CuOs2F
_space_group_name_H-M_alt 'F m -3 m'
_space_group_IT_number 225
_space_group_name_Hall '-F 4 2 3'
_cell_length_a 5.872
_cell_length_b 5.872
_cell_length_c 5.872
_cell_angle_alpha 90.00
_cell_angle_beta 90.00
_cell_angle_gamma 90.00
loop_
_atom_site_label
_atom_site_fract_x
_atom_site_fract_y
_atom_site_fract_z
Cu1 0.000 0.000 0.000
Os1 0.250 0.250 0.250
F1 0.000 0.000 0.500
```



A relaxed structure of Ti8Sn2Sb3. Source: Alexandria, functional PBE.

Computed properties:
The calculation puts the formation energy without anion corrections at -0.0398 eV/atom. The spin magnetization comes out at 0.0 μB/f.u. The value obtained for the raw total energy is -0.238 Ha/atom.

```
data_Ti8Sn2Sb3
_space_group_name_H-M_alt 'C 1 2/m 1'
_space_group_IT_number 12
_cell_length_a 12.184
_cell_length_b 9.511
_cell_length_c 4.812
_cell_angle_alpha 90.00
_cell_angle_beta 90.04
_cell_angle_gamma 90.00
loop_
_space_group_symop_operation_xyz
'x,y,z'
'-x,-y,-z'
'-x,y,-z'
'x,-y,z'
'x+1/2,y+1/2,z'
'-x+1/2,-y+1/2,-z'
'-x+1/2,y+1/2,-z'
'x+1/2,-y+1/2,z'
loop_
_atom_site_label
_atom_site_fract_x
_atom_site_fract_y
_atom_site_fract_z
Ti1 0.120 0.000 0.000
Ti2 0.124 0.251 0.500
Ti3 0.134 0.500 0.999
Sn1 0.242 0.500 0.499
Sb1 0.000 0.000 0.500
Sb2 0.000 0.267 0.000
```



A relaxed structure of MgZnSnRh. Source: Alexandria, functional PBE.

Computed properties:
The spin magnetization comes out at 0.0 μB/f.u. The value obtained for the raw total energy is -0.141 Ha/atom. Its calculated formation energy is -0.2761 eV per atom.

```
data_MgZnSnRh
_space_group_name_H-M_alt 'P m m m'
_space_group_IT_number 47
_cell_length_a 3.840
_cell_length_b 4.209
_cell_length_c 4.214
_cell_angle_alpha 90.00
_cell_angle_beta 90.00
_cell_angle_gamma 90.00
loop_
_space_group_symop_operation_xyz
'x,y,z'
'-x,-y,-z'
'-x,-y,z'
'x,y,-z'
'x,-y,-z'
'-x,y,z'
'-x,y,-z'
'x,-y,z'
loop_
_atom_site_label
_atom_site_fract_x
_atom_site_fract_y
_atom_site_fract_z
Mg1 0.000 0.000 0.000
Zn1 0.500 0.000 0.500
Sn1 0.000 0.500 0.500
Rh1 0.500 0.500 0.000
```